# 1
Density functional theory data (PBE-GGA) for a relaxed structure of CeHf2Au.

Summary:
spin magnetization = 0.002 μB/f.u.
calculated formation energy = -0.169 eV per atom
ΔE to the lowest computed polymorph = 0.000 eV/f.u.

Unit cell a=3.2658 b=3.2658 c=8.4139 alpha=90.00 beta=90.00 gamma=90.00
With the nearest neighbours (Å) after each atom.
Atoms (fractional coordinates):
Au (0.5000, 0.5000, 0.0000)  8 Hf 2.97, 4 Au 3.27
Hf (0.0000, 0.0000, 0.7783)  4 Au 2.97, 4 Hf 3.27, 4 Ce 3.29
Hf (0.0000, 0.0000, 0.2217)  4 Au 2.97, 4 Hf 3.27, 4 Ce 3.29
Ce (0.5000, 0.5000, 0.5000)  4 Ce 3.27, 8 Hf 3.29

***

# 2
Density functional theory data (PBE-GGA) for a relaxed structure of La2MgAs4Ir3.

Summary:
spin magnetization = 0.000 μB/f.u.
calculated formation energy = -0.823 eV per atom

Unit cell a=4.3606 b=4.3606 c=10.4007 alpha=90.00 beta=90.00 gamma=90.00
With the nearest neighbours (Å) after each atom.
Atoms (fractional coordinates):
Ir (0.5000, 0.0000, 0.8848)  5 As 2.49-2.50
Ir (0.0000, 0.0000, 0.5000)  4 As 2.65
Ir (0.0000, 0.5000, 0.1152)  5 As 2.49-2.50
Mg (0.5000, 0.5000, 0.5000)  4 As 2.65
As (0.0000, 0.5000, 0.3553)  3 Ir 2.50-2.65, 2 Mg 2.65
As (0.0000, 0.0000, 0.0000)  4 Ir 2.49
As (0.5000, 0.0000, 0.6447)  3 Ir 2.50-2.65, 2 Mg 2.65
As (0.5000, 0.5000, 0.0000)  4 Ir 2.49
La (0.5000, 0.0000, 0.2381)  8 As 3.30-3.32, 7 Ir 3.34-3.68, 2 Mg 3.49
La (0.0000, 0.5000, 0.7619)  8 As 3.30-3.32, 7 Ir 3.34-3.68, 2 Mg 3.49

***

# 3
Density functional theory data (PBE-GGA) for a relaxed structure of Pu3AsSe2.

Summary:
raw formation energy = -8.31 eV/f.u.
spin magnetization = 16.732 μB/f.u.

Unit cell a=4.1642 b=5.8782 c=7.2016 alpha=114.09 beta=106.80 gamma=90.00
With the nearest neighbours (Å) after each atom.
Atoms (fractional coordinates):
Pu (0.3358, 0.3358, 0.6716)  2 As 2.92, 4 Se 2.94-2.96
Pu (0.0000, 0.0000, 0.0000)  2 As 2.94, 4 Se 2.95
Pu (0.6642, 0.6642, 0.3284)  2 As 2.92, 4 Se 2.94-2.96
Se (0.3325, 0.8325, 0.6650)  6 Pu 2.94-2.96
Se (0.6675, 0.1675, 0.3350)  6 Pu 2.94-2.96
As (0.0000, 0.5000, 0.0000)  6 Pu 2.92-2.94

***

# 4
Density functional theory data (PBE-GGA) for a relaxed structure of Ac2GdTh.

Summary:
spin magnetization = 6.989 μB/f.u.
calculated formation energy = 0.120 eV per atom
ΔE to the lowest computed polymorph = 0.059 eV/f.u.

Unit cell a=5.3232 b=5.3456 c=5.3456 alpha=90.00 beta=90.00 gamma=90.00
With the nearest neighbours (Å) after each atom.
Atoms (fractional coordinates):
Gd (0.5000, 0.0000, 0.0000)  8 Ac 3.77, 4 Th 3.78
Ac (0.0000, 0.0000, 0.5000)  4 Gd 3.77, 4 Th 3.77, 4 Ac 3.78
Ac (0.0000, 0.5000, 0.0000)  4 Gd 3.77, 4 Th 3.77, 4 Ac 3.78
Th (0.5000, 0.5000, 0.5000)  8 Ac 3.77, 4 Gd 3.78

***

# 5
Density functional theory data (PBE-GGA) for a relaxed structure of AlSeNF2.

Summary:
raw formation energy = -5.72 eV/f.u.
spin magnetization = 0.000 μB/f.u.
ΔE to the lowest computed polymorph = 0.000 eV/f.u.

Unit cell a=3.5128 b=3.5128 c=4.7006 alpha=90.00 beta=90.00 gamma=90.00
With the nearest neighbours (Å) after each atom.
Atoms (fractional coordinates):
F (0.0000, 0.5000, 0.0000)  2 Al 1.76
F (0.5000, 0.0000, 0.0000)  2 Al 1.76
Se (0.5000, 0.5000, 0.5000)  4 N 2.48
N (0.0000, 0.0000, 0.5000)  2 Al 2.35, 4 Se 2.48
Al (0.0000, 0.0000, 0.0000)  4 F 1.76

***

# 6
Density functional theory data (PBE-GGA) for a relaxed structure of BaSeO3.

Summary:
raw formation energy = -9.13 eV/f.u.
spin magnetization = 0.000 μB/f.u.

Unit cell a=6.9470 b=6.9470 c=6.9470 alpha=50.98 beta=50.98 gamma=50.98
With the nearest neighbours (Å) after each atom.
Atoms (fractional coordinates):
Se (0.0162, 0.0162, 0.0162)  3 O 1.74
Se (0.5162, 0.5162, 0.5162)  3 O 1.74
O (0.2672, 0.1431, 0.7644)  1 Se 1.74
O (0.7644, 0.2672, 0.1431)  1 Se 1.74
O (0.6431, 0.7672, 0.2644)  1 Se 1.74
O (0.1431, 0.7644, 0.2672)  1 Se 1.74
O (0.7672, 0.2644, 0.6431)  1 Se 1.74
O (0.2644, 0.6431, 0.7672)  1 Se 1.74
Ba (0.2806, 0.2806, 0.2806)  6 O 2.81
Ba (0.7806, 0.7806, 0.7806)  6 O 2.81